The following is a DFT calculation (PBE with a Hubbard U) of a relaxed structure of MoPtOF2.

Fermi-level density of states ... 2.905 states/eV/f.u.
Uncorrected energy ... -5.024 eV per atom

Cell lengths 4.2223, 4.2223, 3.9958 Å; angles 90.00, 90.00, 90.00 degrees
Closest atoms and distances in Å follow each position.
Positions (direct):
F  0.5000  0.0000  0.0000  2 Mo 2.11
O  0.0000  0.0000  0.5000  2 Mo 2.00
Pt  0.5000  0.5000  0.5000  8 F 2.91, 4 O 2.99
Mo  0.0000  0.0000  0.0000  2 O 2.00, 4 F 2.11
F  0.0000  0.5000  0.0000  2 Mo 2.11